The following is a PBE-GGA calculation of an optimized crystal structure of Nd2ScUAs4, from Alexandria.

Output
Total DFT energy (no corrections)   -6.98 eV/atom
ΔH_f (0 K)   -10.1 eV/f.u.
ρ   7.28 g/cm³

abc: 7.125 4.120 7.166
angles: 90.00 109.16 90.00
Atoms (fractional coordinates):
Nd 0.000 0.000 0.000
Nd 0.500 0.500 0.000
Sc 0.000 0.500 0.500
U 0.500 0.000 0.500
As 0.240 0.000 0.727
As 0.251 0.500 0.268
As 0.749 0.500 0.732
As 0.760 0.000 0.273

The following is a PBE-GGA calculation of an optimized crystal structure of Nd2YScAs4, from Alexandria.

Output
Total DFT energy (no corrections)   -6.58 eV/atom
ΔH_f (0 K)   -11.7 eV/f.u.
ρ   5.96 g/cm³

abc: 7.162 4.151 7.180
angles: 90.00 109.53 90.00
Atoms (fractional coordinates):
Nd 0.000 0.000 0.000
Nd 0.000 0.500 0.500
Y 0.500 0.000 0.500
Sc 0.500 0.500 0.000
As 0.264 0.500 0.248
As 0.269 0.000 0.763
As 0.731 0.000 0.237
As 0.736 0.500 0.752

The following is a PBE-GGA calculation of an optimized crystal structure of Nd3AsSe, from Alexandria.

Output
Energy relative to the elements, uncorrected   -1.0357 eV/atom
Total DFT energy (no corrections)   -5.52 eV/atom
ρ   6.19 g/cm³

abc: 6.895 6.895 3.824
angles: 90.00 90.00 120.00
Atoms (fractional coordinates):
Nd 0.001 0.663 0.000
Nd 0.337 0.338 0.000
Nd 0.662 0.999 0.000
As 0.333 0.667 0.500
Se 0.000 0.000 0.500

The following is a PBE-GGA calculation of an optimized crystal structure of Nd6As2Se3, from Alexandria.

Output
Energy relative to the elements, uncorrected   -1.5021 eV/atom
Total DFT energy (no corrections)   -5.90 eV/atom
ρ   6.51 g/cm³

abc: 7.155 7.155 7.203
angles: 90.00 90.00 120.00
Atoms (fractional coordinates):
Nd 0.000 0.336 0.257
Nd 0.000 0.664 0.743
Nd 0.336 0.000 0.257
Nd 0.336 0.336 0.743
Nd 0.664 0.000 0.743
Nd 0.664 0.664 0.257
As 0.333 0.667 0.500
As 0.667 0.333 0.500
Se 0.000 0.000 0.500
Se 0.333 0.667 0.000
Se 0.667 0.333 0.000